No. 1
VASP calculation (GGA-PBE) on a relaxed AcTl3Pd crystal.

For the total magnetic moment, the calculation gives 0.00 μB per formula unit. The uncorrected energy comes out at -17.02 eV for the cell shown. The formation energy comes out at -0.125 eV per atom. The relative energy among the computed polymorphs comes out at 198 meV/atom.

The structure belongs to space group Pm-3m (No. 221); the cell edges are 5.350, 5.350 and 5.350 Å and the angles 90.00°, 90.00° and 90.00°. Symmetry generates all atoms from Ac at (0.000, 0.000, 0.000), Tl at (0.000, 0.500, 0.500) and Pd at (0.500, 0.500, 0.500).

No. 2
VASP calculation (GGA-PBE) on a relaxed AcTl5Pd crystal.

For the total magnetic moment, the calculation gives 0.00 μB per formula unit. The uncorrected energy comes out at -22.82 eV for the cell shown. The formation energy comes out at -0.241 eV per atom.

The structure belongs to space group P4/mmm (No. 123); the cell edges are 4.991, 4.991 and 7.973 Å and the angles 90.00°, 90.00° and 90.00°. Symmetry generates all atoms from Ac at (0.000, 0.000, 0.000), Tl at (0.000, 0.500, 0.306), Tl at (0.500, 0.500, 0.000) and Pd at (0.000, 0.000, 0.500).

No. 3
VASP calculation (GGA-PBE) on a relaxed Ac3TlPd12 crystal.

For the total magnetic moment, the calculation gives 0.00 μB per formula unit. The uncorrected energy comes out at -86.45 eV for the cell shown. The formation energy comes out at -0.590 eV per atom.

The structure belongs to space group P4/mmm (No. 123); the cell edges are 4.291, 4.291 and 16.819 Å and the angles 90.00°, 90.00° and 90.00°. Symmetry generates all atoms from Ac at (0.000, 0.000, 0.000), Ac at (0.000, 0.000, 0.259), Tl at (0.000, 0.000, 0.500), Pd at (0.000, 0.500, 0.129), Pd at (0.000, 0.500, 0.386), Pd at (0.500, 0.500, 0.000), Pd at (0.500, 0.500, 0.258) and Pd at (0.500, 0.500, 0.500).

No. 4
VASP calculation (GGA-PBE) on a relaxed Ac12Tl5Pd2 crystal.

For the total magnetic moment, the calculation gives 0.00 μB per formula unit. The uncorrected energy comes out at -151.14 eV for the cell shown. The formation energy comes out at -0.213 eV per atom.

The structure belongs to space group C2/m (No. 12); the cell edges are 18.720, 8.368 and 10.421 Å and the angles 90.00°, 105.04° and 90.00°. Symmetry generates all atoms from Ac at (0.001, 0.000, 0.263), Ac at (0.010, 0.500, 0.825), Ac at (0.153, 0.263, 0.579), Ac at (0.161, 0.247, 0.089), Tl at (0.000, 0.500, 0.500), Tl at (0.190, 0.000, 0.838), Tl at (0.193, 0.000, 0.364) and Pd at (0.000, 0.181, 0.000).

No. 5
VASP calculation (GGA-PBE) on a relaxed Ac3TlPd2 crystal.

For the total magnetic moment, the calculation gives 0.00 μB per formula unit. The uncorrected energy comes out at -169.55 eV for the cell shown. The formation energy comes out at -0.530 eV per atom.

The structure belongs to space group R-3c (No. 167, hexagonal axes); the cell edges are 8.1682, 8.1682 and 20.8430 Å and the angles 90.00°, 90.00° and 120.00°. Symmetry generates all atoms from Ac at (0.0000, 0.2892, 0.2500), Tl at (0.0000, 0.0000, 0.0000) and Pd at (0.0000, 0.0000, 0.1475).

No. 6
VASP calculation (GGA-PBE) on a relaxed Ac2Tl2Pd3 crystal.

For the total magnetic moment, the calculation gives 0.00 μB per formula unit. The uncorrected energy comes out at -131.17 eV for the cell shown. The formation energy comes out at -0.609 eV per atom. The relative energy among the computed polymorphs comes out at 0 meV/atom.

The structure belongs to space group Cmcm (No. 63); the cell edges are 4.285, 20.615 and 8.205 Å and the angles 90.00°, 90.00° and 90.00°. Symmetry generates all atoms from Ac at (0.000, 0.053, 0.250), Ac at (0.000, 0.145, 0.750), Tl at (0.000, 0.312, 0.557), Pd at (0.000, 0.234, 0.250) and Pd at (0.000, 0.441, 0.072).